DFT (PBE) results for an optimized crystal structure of CeYPu2.

The structure in extended XYZ format:
```
4
Lattice="0.000 3.851 3.851 3.851 0.000 3.851 3.851 3.851 0.000" Properties=species:S:1:pos:R:3 pbc="T T T"
Ce 0.000 0.000 0.000
Y 3.851 3.851 3.851
Pu 1.926 1.926 1.926
Pu 5.777 5.777 5.777
```

Output
energy above the most stable polymorph in this dataset	77	meV per atom
ΔH_f (0 K)	233	meV/atom
size of the total moment	3.505	μB per atom

=====

DFT (PBE) results for an optimized crystal structure of Y8C3O4.

The structure in extended XYZ format:
```
15
Lattice="3.525 2.035 6.118 -3.525 2.035 6.118 0.000 -4.070 6.118" Properties=species:S:1:pos:R:3 pbc="T T T"
Y 0.000 0.000 4.392
Y -1.767 -1.020 10.583
Y 0.000 -2.040 7.772
Y -1.767 1.020 7.772
Y 1.767 -1.020 10.583
Y 0.000 2.040 10.583
Y 1.767 1.020 7.772
Y 0.000 0.000 13.964
C -3.525 0.000 9.178
C -1.762 1.018 3.059
C 1.762 1.018 3.059
O 0.000 0.000 0.000
O 0.000 0.000 6.575
O 0.000 0.000 9.178
O 0.000 0.000 11.780
```

Output
electronic total energy	-123.479	eV for the cell shown
size of the total moment	0.000	μB per atom

=====

DFT (PBE) results for an optimized crystal structure of SrDy2UO8.

The structure in extended XYZ format:
```
12
Lattice="3.866 0.000 0.000 0.000 5.320 0.000 0.000 0.000 8.015" Properties=species:S:1:pos:R:3 pbc="T T T"
Sr 0.000 0.000 0.000
Dy 1.933 2.660 2.250
Dy 1.933 2.660 5.765
U 0.000 0.000 4.008
O 0.000 1.287 2.276
O 0.000 1.287 5.739
O 0.000 4.033 2.276
O 0.000 4.033 5.739
O 1.933 1.244 4.008
O 1.933 1.896 0.000
O 1.933 3.424 0.000
O 1.933 4.076 4.008
```

Output
electronic total energy	-98.109	eV for the cell shown
size of the total moment	0.000	μB per atom